# 1
An optimized crystal structure of HfGa3Bi. Source: Alexandria, functional GGA-PBE.

Calculated values
- Calculated total energy: -20.30 eV for the cell shown
- Calculated volume: 142.47 Å³/cell
- Space-group type: Pm-3m (221)
- Spin magnetization: 0.0 μB per formula unit

Lattice parameters (Å, degrees): 5.223 5.223 5.223 90.00 90.00 90.00
Sites, in units of the cell vectors:
Hf 0.000 0.000 0.000
Ga 0.000 0.000 0.500
Ga 0.000 0.500 0.000
Ga 0.500 0.000 0.000
Bi 0.500 0.500 0.500



# 2
An optimized crystal structure of Hf5Ga2Bi2. Source: Alexandria, functional GGA-PBE.

Calculated values
- Calculated total energy: -133.27 eV for the cell shown
- Calculated volume: 395.71 Å³/cell
- Space-group type: Cmce (64)
- Spin magnetization: 0.0 μB per formula unit

Lattice parameters (Å, degrees): 8.154 8.154 7.358 90.00 90.00 53.97
Sites, in units of the cell vectors:
Hf 0.000 0.000 0.000
Hf 0.045 0.714 0.670
Hf 0.214 0.545 0.170
Hf 0.286 0.955 0.670
Hf 0.455 0.786 0.170
Hf 0.500 0.500 0.500
Hf 0.545 0.214 0.830
Hf 0.714 0.045 0.330
Hf 0.786 0.455 0.830
Hf 0.955 0.286 0.330
Ga 0.131 0.869 0.372
Ga 0.369 0.631 0.872
Ga 0.631 0.369 0.128
Ga 0.869 0.131 0.628
Bi 0.211 0.211 0.000
Bi 0.289 0.289 0.500
Bi 0.711 0.711 0.500
Bi 0.789 0.789 0.000



# 3
An optimized crystal structure of Hf6GaBi2. Source: Alexandria, functional GGA-PBE.

Calculated values
- Calculated total energy: -132.14 eV for the cell shown
- Calculated volume: 486.59 Å³/cell
- Space-group type: P4_2/mnm (136)
- Spin magnetization: 0.0 μB per formula unit

Lattice parameters (Å, degrees): 5.173 5.173 18.183 90.00 90.00 90.00
Sites, in units of the cell vectors:
Hf 0.175 0.175 0.000
Hf 0.250 0.250 0.388
Hf 0.250 0.250 0.612
Hf 0.250 0.750 0.112
Hf 0.250 0.750 0.888
Hf 0.325 0.675 0.500
Hf 0.675 0.325 0.500
Hf 0.750 0.250 0.112
Hf 0.750 0.250 0.888
Hf 0.750 0.750 0.388
Hf 0.750 0.750 0.612
Hf 0.825 0.825 0.000
Ga 0.000 0.000 0.500
Ga 0.500 0.500 0.000
Bi 0.000 0.000 0.251
Bi 0.000 0.000 0.749
Bi 0.500 0.500 0.249
Bi 0.500 0.500 0.751



# 4
An optimized crystal structure of Hf3GaBi. Source: Alexandria, functional GGA-PBE.

Calculated values
- Calculated total energy: -150.08 eV for the cell shown
- Calculated volume: 435.21 Å³/cell
- Space-group type: C2/c (15)
- Spin magnetization: 0.0 μB per formula unit

Lattice parameters (Å, degrees): 8.092 8.092 10.485 101.27 101.27 40.40
Sites, in units of the cell vectors:
Hf 0.069 0.129 0.770
Hf 0.129 0.069 0.270
Hf 0.190 0.689 0.984
Hf 0.266 0.330 0.730
Hf 0.311 0.810 0.516
Hf 0.330 0.266 0.230
Hf 0.670 0.734 0.770
Hf 0.689 0.190 0.484
Hf 0.734 0.670 0.270
Hf 0.810 0.311 0.016
Hf 0.871 0.931 0.730
Hf 0.931 0.871 0.230
Ga 0.000 0.500 0.000
Ga 0.480 0.520 0.750
Ga 0.500 0.000 0.500
Ga 0.520 0.480 0.250
Bi 0.111 0.606 0.481
Bi 0.394 0.889 0.019
Bi 0.606 0.111 0.981
Bi 0.889 0.394 0.519



# 5
An optimized crystal structure of Hf6GaBi3. Source: Alexandria, functional GGA-PBE.

Calculated values
- Calculated total energy: -147.23 eV for the cell shown
- Calculated volume: 505.80 Å³/cell
- Space-group type: Cmc2_1 (36)
- Spin magnetization: 0.0 μB per formula unit

Lattice parameters (Å, degrees): 8.795 8.795 7.001 90.00 90.00 110.94
Sites, in units of the cell vectors:
Hf 0.034 0.966 0.500
Hf 0.076 0.592 0.475
Hf 0.256 0.744 0.879
Hf 0.259 0.403 0.916
Hf 0.403 0.259 0.416
Hf 0.408 0.924 0.475
Hf 0.592 0.076 0.975
Hf 0.597 0.741 0.916
Hf 0.741 0.597 0.416
Hf 0.744 0.256 0.379
Hf 0.924 0.408 0.975
Hf 0.966 0.034 0.000
Ga 0.150 0.850 0.210
Ga 0.850 0.150 0.710
Bi 0.098 0.292 0.292
Bi 0.292 0.098 0.792
Bi 0.413 0.587 0.564
Bi 0.587 0.413 0.064
Bi 0.708 0.902 0.292
Bi 0.902 0.708 0.792



# 6
An optimized crystal structure of HfGa3Bi. Source: Alexandria, functional GGA-PBE.

Calculated values
- Calculated total energy: -17.16 eV for the cell shown
- Calculated volume: 150.34 Å³/cell
- Space-group type: Pm-3m (221)
- Spin magnetization: 0.0 μB per formula unit

Lattice parameters (Å, degrees): 5.317 5.317 5.317 90.00 90.00 90.00
Sites, in units of the cell vectors:
Hf 0.000 0.000 0.000
Ga 0.000 0.500 0.500
Ga 0.500 0.000 0.500
Ga 0.500 0.500 0.000
Bi 0.500 0.500 0.500



Going through the records in order, we get formation enthalpy at 0 K values of 0.5237, -0.3392, 0.4934, -0.1504, 0.0775, 1.1513 eV per atom.